1.
A PBEsol-optimized structure of PrSiP3. Source: Alexandria via LeMat-Bulk, functional meta-GGA SCAN.

SG   Pna2_1, No. 33
Total moment   0.00 μB/atom
Final energy   -17.71 eV per atom
V   103.0 Å³/f.u.
ΔE_f (raw)   -0.799 eV per atom

Unit cell a=5.6441 b=5.7879 c=25.2120 alpha=90.00 beta=90.00 gamma=90.00
With the nearest neighbours (Å) after each atom.
Positions (direct):
Pr: 0.7527 0.9705 0.5968  9 P 2.91-3.15
Pr: 0.7533 0.0280 0.0886  9 P 2.93-3.22
Pr: 0.2527 0.0295 0.4032  9 P 2.91-3.15
Pr: 0.2527 0.5295 0.0968  9 P 2.91-3.15
Pr: 0.7527 0.4705 0.9032  9 P 2.91-3.15
Pr: 0.2533 0.4720 0.5886  9 P 2.93-3.22
Pr: 0.7533 0.5280 0.4114  9 P 2.93-3.22
Pr: 0.2533 0.9720 0.9114  9 P 2.93-3.22
Si: 0.8372 0.1214 0.2915  4 P 2.20-2.27
Si: 0.3397 0.4464 0.2949  4 P 2.20-2.25
Si: 0.8397 0.5536 0.7051  4 P 2.20-2.25
Si: 0.3397 0.9464 0.2051  4 P 2.20-2.25
Si: 0.3372 0.3786 0.7915  4 P 2.20-2.27
Si: 0.3372 0.8786 0.7085  4 P 2.20-2.27
Si: 0.8397 0.0536 0.7949  4 P 2.20-2.25
Si: 0.8372 0.6214 0.2085  4 P 2.20-2.27
P: 0.9574 0.6899 0.9980  2 P 2.27-2.29
P: 0.2502 0.0334 0.1227  1 Si 2.20
P: 0.2348 0.5068 0.7096  3 Si 2.23-2.27
P: 0.0517 0.3092 0.0020  2 P 2.27-2.29
P: 0.5517 0.1908 0.5020  2 P 2.27-2.29
P: 0.7328 0.9226 0.7144  3 Si 2.23-2.25
P: 0.7348 0.4932 0.2904  3 Si 2.23-2.27
P: 0.2502 0.5334 0.3773  1 Si 2.20
P: 0.0517 0.8092 0.4980  2 P 2.27-2.29
P: 0.2328 0.5774 0.2144  3 Si 2.23-2.25
P: 0.2328 0.0774 0.2856  3 Si 2.23-2.25
P: 0.7503 0.5214 0.1264  1 Si 2.20
P: 0.9574 0.1899 0.5020  2 P 2.27-2.29
P: 0.2348 0.0068 0.7904  3 Si 2.23-2.27
P: 0.7328 0.4226 0.7856  3 Si 2.23-2.25
P: 0.5517 0.6908 0.9980  2 P 2.27-2.29
P: 0.2503 0.4786 0.8736  1 Si 2.20
P: 0.4574 0.3101 0.0020  2 P 2.27-2.29
P: 0.7503 0.0214 0.3736  1 Si 2.20
P: 0.7502 0.4666 0.6227  1 Si 2.20
P: 0.2503 0.9786 0.6264  1 Si 2.20
P: 0.4574 0.8101 0.4980  2 P 2.27-2.29
P: 0.7348 0.9932 0.2096  3 Si 2.23-2.27
P: 0.7502 0.9666 0.8773  1 Si 2.20

***

2.
A PBEsol-optimized structure of V2Zn3P4O18. Source: Alexandria via LeMat-Bulk, functional meta-GGA SCAN.

SG   Cm, No. 8
Total moment   0.00 μB/atom
Final energy   -10.77 eV per atom
V   349.8 Å³/f.u.
ΔE_f (raw)   -2.274 eV per atom

Unit cell a=7.6478 b=7.6736 c=7.7341 alpha=111.58 beta=111.45 gamma=105.05
With the nearest neighbours (Å) after each atom.
Positions (direct):
O: 0.1742 0.3850 0.0000  1 P 1.51
O: 0.1890 0.4827 0.4549  1 P 1.60
O: 0.0819 0.0724 0.4996  1 V 1.58
O: 0.8732 0.1453 0.0000  1 P 1.56
O: 0.6493 0.3629 0.0000  1 P 1.56
O: 0.1456 0.6379 0.7708  1 P 1.48
O: 0.9913 0.6802 0.4546  1 P 1.60
O: 0.4963 0.5234 0.7942  1 P 1.56
O: 0.3917 0.8822 0.7142  1 P 1.49
O: 0.7341 0.0278 0.5451  1 P 1.60
O: 0.0325 0.9881 0.7942  1 P 1.56
O: 0.7021 0.7292 0.2058  1 P 1.56
O: 0.8934 0.6602 0.0000  1 P 1.51
O: 0.2384 0.1940 0.2058  1 P 1.56
O: 0.5367 0.2256 0.5454  1 P 1.60
O: 0.6775 0.1680 0.2858  1 P 1.49
O: 0.5824 0.5729 0.5004  1 V 1.58
O: 0.3748 0.8671 0.2292  1 P 1.48
Zn: 0.1278 0.6171 0.0000  4 O 1.89-1.91
Zn: 0.8525 0.3450 0.2396  3 O 1.88-2.02
Zn: 0.6128 0.1053 0.7604  3 O 1.88-2.02
V: 0.4125 0.4037 0.5001  1 O 1.58
V: 0.9124 0.9036 0.4999  1 O 1.58
P: 0.0838 0.1852 0.0000  4 O 1.51-1.56
P: 0.1972 0.6885 0.6229  4 O 1.48-1.60
P: 0.6924 0.5731 0.0000  4 O 1.51-1.56
P: 0.5743 0.0656 0.3771  4 O 1.48-1.60

***

3.
A PBEsol-optimized structure of KPd2Rh. Source: Alexandria via LeMat-Bulk, functional meta-GGA SCAN.

SG   Fm-3m, No. 225
Total moment   0.38 μB/atom
Final energy   -26.32 eV per atom
V   68.2 Å³/f.u.

Unit cell a=4.5870 b=4.5870 c=4.5870 alpha=60.00 beta=60.00 gamma=60.00
With the nearest neighbours (Å) after each atom.
Positions (direct):
Pd: 0.7500 0.7500 0.7500  4 K 2.81, 4 Rh 2.81
Pd: 0.2500 0.2500 0.2500  4 K 2.81, 4 Rh 2.81
Rh: 0.5000 0.5000 0.5000  8 Pd 2.81
K: 0.0000 0.0000 0.0000  8 Pd 2.81

***

4.
A PBEsol-optimized structure of Co3SbMo. Source: Alexandria via LeMat-Bulk, functional meta-GGA SCAN.

SG   Pm-3m, No. 221
Total moment   1.31 μB/atom
Energy above the lowest structure with this stoichiometry   98 meV per atom
Final energy   -23.16 eV per atom
V   88.1 Å³/f.u.
ΔE_f (raw)   1.650 eV per atom

Unit cell a=4.4493 b=4.4493 c=4.4493 alpha=90.00 beta=90.00 gamma=90.00
With the nearest neighbours (Å) after each atom.
Positions (direct):
Sb: 0.0000 0.0000 0.0000  6 Co 2.22
Co: 0.5000 0.0000 0.0000  2 Sb 2.22
Co: 0.0000 0.5000 0.0000  2 Sb 2.22
Co: 0.0000 0.0000 0.5000  2 Sb 2.22
Mo: 0.5000 0.5000 0.5000  12 Co 3.15

***

5.
A PBEsol-optimized structure of Na3TeMo. Source: Alexandria via LeMat-Bulk, functional meta-GGA SCAN.

SG   Pm-3m, No. 221
Total moment   1.01 μB/atom
Final energy   -16.49 eV per atom
V   194.7 Å³/f.u.
ΔE_f (raw)   0.469 eV per atom

Unit cell a=5.7962 b=5.7962 c=5.7962 alpha=90.00 beta=90.00 gamma=90.00
With the nearest neighbours (Å) after each atom.
Positions (direct):
Te: 0.0000 0.0000 0.0000  6 Na 2.90
Na: 0.0000 0.5000 0.0000  2 Te 2.90
Na: 0.0000 0.0000 0.5000  2 Te 2.90
Na: 0.5000 0.0000 0.0000  2 Te 2.90
Mo: 0.5000 0.5000 0.5000  12 Na 4.10

***

6.
A PBEsol-optimized structure of ZrCr2Ge2. Source: Alexandria via LeMat-Bulk, functional meta-GGA SCAN.

SG   I4/mmm, No. 139
Total moment   0.00 μB/atom
Final energy   -21.19 eV per atom
V   77.4 Å³/f.u.

Unit cell a=4.3644 b=4.3644 c=5.1027 alpha=115.32 beta=115.32 gamma=90.00
With the nearest neighbours (Å) after each atom.
Positions (direct):
Ge: 0.7500 0.2500 0.5000  4 Cr 2.44
Ge: 0.2500 0.7500 0.5000  4 Cr 2.44
Cr: 0.3830 0.3830 0.7661  1 Cr 1.90
Cr: 0.6170 0.6170 0.2339  1 Cr 1.90
Zr: 0.0000 0.0000 0.0000  8 Ge 2.98, 10 Cr 3.11-3.23

***

7.
A PBEsol-optimized structure of Zr2CoBr. Source: Alexandria via LeMat-Bulk, functional meta-GGA SCAN.

SG   Pmmm, No. 47
Total moment   0.00 μB/atom
Energy above the lowest structure with this stoichiometry   370 meV per atom
Final energy   -24.50 eV per atom
V   69.0 Å³/f.u.
ΔE_f (raw)   0.045 eV per atom

Unit cell a=3.1231 b=4.3853 c=5.0392 alpha=90.00 beta=90.00 gamma=90.00
With the nearest neighbours (Å) after each atom.
Positions (direct):
Zr: 0.0000 0.5000 0.5000  4 Co 2.69, 4 Br 2.96
Zr: 0.0000 0.0000 0.0000  4 Br 2.69, 4 Co 2.96
Br: 0.5000 0.5000 0.0000  8 Zr 2.69-2.96
Co: 0.5000 0.0000 0.5000  8 Zr 2.69-2.96

***

8.
A PBEsol-optimized structure of TlSeIN2. Source: Alexandria via LeMat-Bulk, functional meta-GGA SCAN.

SG   P4/mmm, No. 123
Total moment   0.00 μB/atom
Final energy   -27.98 eV per atom
V   96.1 Å³/f.u.
ΔE_f (raw)   1.577 eV per atom

Unit cell a=4.0769 b=4.0769 c=5.7807 alpha=90.00 beta=90.00 gamma=90.00
With the nearest neighbours (Å) after each atom.
Positions (direct):
Se: 0.0000 0.0000 0.5000  4 Tl 2.88, 2 I 2.89
N: 0.5000 0.0000 0.0000  2 I 2.04
N: 0.0000 0.5000 0.0000  2 I 2.04
I: 0.0000 0.0000 0.0000  4 N 2.04
Tl: 0.5000 0.5000 0.5000  4 Se 2.88

***

9.
A PBEsol-optimized structure of TaMn2Mo. Source: Alexandria via LeMat-Bulk, functional meta-GGA SCAN.

SG   Immm, No. 71
Total moment   0.72 μB/atom
Energy above the lowest structure with this stoichiometry   49 meV per atom
Final energy   -34.44 eV per atom
V   54.5 Å³/f.u.

Unit cell a=3.0806 b=4.3425 c=4.8694 alpha=116.48 beta=108.44 gamma=90.00
With the nearest neighbours (Å) after each atom.
Positions (direct):
Mn: 0.7551 0.7551 0.5101  2 Mo 2.52, 2 Ta 2.59, 4 Mn 2.66
Mn: 0.2449 0.2449 0.4899  2 Mo 2.52, 2 Ta 2.59, 4 Mn 2.66
Mo: 0.5000 0.0000 0.0000  4 Mn 2.52, 4 Ta 2.66
Ta: 0.0000 0.5000 0.0000  4 Mn 2.59, 4 Mo 2.66

***

10.
A PBEsol-optimized structure of La2CuSe4O12. Source: Alexandria via LeMat-Bulk, functional meta-GGA SCAN.

SG   P2_1/c, No. 14
Total moment   0.05 μB/atom
Final energy   -15.30 eV per atom
V   294.5 Å³/f.u.
ΔE_f (raw)   -1.797 eV per atom

Unit cell a=7.0987 b=8.3694 c=10.6082 alpha=110.86 beta=90.00 gamma=90.00
With the nearest neighbours (Å) after each atom.
Positions (direct):
O: 0.1356 0.8302 0.8563  1 Se 1.76, 1 Cu 1.93
O: 0.3829 0.5740 0.3465  1 Se 1.70
O: 0.8462 0.5924 0.5596  1 Se 1.75
O: 0.9034 0.8245 0.0582  1 Se 1.73, 1 Cu 1.91
O: 0.5966 0.3245 0.0582  1 Se 1.73, 1 Cu 1.91
O: 0.3462 0.9076 0.4404  1 Se 1.75
O: 0.7194 0.9679 0.2960  1 Se 1.71
O: 0.0112 0.7779 0.3813  1 Se 1.72
O: 0.0966 0.1755 0.9418  1 Se 1.73, 1 Cu 1.91
O: 0.2806 0.0321 0.7040  1 Se 1.71
O: 0.9888 0.2221 0.6187  1 Se 1.72
O: 0.6356 0.6698 0.1437  1 Se 1.76, 1 Cu 1.93
O: 0.5112 0.7221 0.6187  1 Se 1.72
O: 0.6538 0.0924 0.5596  1 Se 1.75
O: 0.1538 0.4076 0.4404  1 Se 1.75
O: 0.3644 0.3302 0.8563  1 Se 1.76, 1 Cu 1.93
O: 0.4888 0.2779 0.3813  1 Se 1.72
O: 0.6171 0.4260 0.6535  1 Se 1.70
O: 0.4034 0.6755 0.9418  1 Se 1.73, 1 Cu 1.91
O: 0.7806 0.4679 0.2960  1 Se 1.71
O: 0.2194 0.5321 0.7040  1 Se 1.71
O: 0.1171 0.0740 0.3465  1 Se 1.70
O: 0.8829 0.9260 0.6535  1 Se 1.70
O: 0.8644 0.1698 0.1437  1 Se 1.76, 1 Cu 1.93
La: 0.6685 0.7627 0.4177  9 O 2.47-2.74
La: 0.1685 0.7373 0.5823  9 O 2.47-2.74
La: 0.3315 0.2373 0.5823  9 O 2.47-2.74
La: 0.8315 0.2627 0.4177  9 O 2.47-2.74
Se: 0.6811 0.6337 0.6897  3 O 1.70-1.75
Se: 0.6803 0.8676 0.1270  3 O 1.71-1.76
Se: 0.8197 0.3676 0.1270  3 O 1.71-1.76
Se: 0.3189 0.3663 0.3103  3 O 1.70-1.75
Se: 0.8189 0.1337 0.6897  3 O 1.70-1.75
Se: 0.3197 0.1324 0.8730  3 O 1.71-1.76
Se: 0.1811 0.8663 0.3103  3 O 1.70-1.75
Se: 0.1803 0.6324 0.8730  3 O 1.71-1.76
Cu: 0.0000 0.0000 0.0000  4 O 1.91-1.93
Cu: 0.5000 0.5000 0.0000  4 O 1.91-1.93

***

11.
A PBEsol-optimized structure of KSc3Rh. Source: Alexandria via LeMat-Bulk, functional meta-GGA SCAN.

SG   Pm-3m, No. 221
Total moment   0.05 μB/atom
Final energy   -17.08 eV per atom
V   134.4 Å³/f.u.

Unit cell a=5.1221 b=5.1221 c=5.1221 alpha=90.00 beta=90.00 gamma=90.00
With the nearest neighbours (Å) after each atom.
Positions (direct):
Sc: 0.5000 0.0000 0.0000  2 Rh 2.56
Sc: 0.0000 0.0000 0.5000  2 Rh 2.56
Sc: 0.0000 0.5000 0.0000  2 Rh 2.56
K: 0.5000 0.5000 0.5000  12 Sc 3.62
Rh: 0.0000 0.0000 0.0000  6 Sc 2.56

***

12.
A PBEsol-optimized structure of HfRhSe2N. Source: Alexandria via LeMat-Bulk, functional meta-GGA SCAN.

SG   P4/mmm, No. 123
Total moment   0.00 μB/atom
Final energy   -29.05 eV per atom
V   89.1 Å³/f.u.
ΔE_f (raw)   0.133 eV per atom

Unit cell a=3.5777 b=4.9902 c=4.9902 alpha=90.00 beta=90.00 gamma=90.00
With the nearest neighbours (Å) after each atom.
Positions (direct):
Se: 0.0000 0.0000 0.5000  2 Rh 2.50
Se: 0.0000 0.5000 0.0000  2 Rh 2.50
Hf: 0.5000 0.5000 0.5000  8 Se 3.07
N: 0.5000 0.0000 0.0000  2 Rh 1.79
Rh: 0.0000 0.0000 0.0000  2 N 1.79

***

- Which formula does entry 7 have?
  Zr2CoBr

***

Repeat the twelfth record exactly.
A PBEsol-optimized structure of HfRhSe2N. Source: Alexandria via LeMat-Bulk, functional meta-GGA SCAN.

SG   P4/mmm, No. 123
Total moment   0.00 μB/atom
Final energy   -29.05 eV per atom
V   89.1 Å³/f.u.
ΔE_f (raw)   0.133 eV per atom

Unit cell a=3.5777 b=4.9902 c=4.9902 alpha=90.00 beta=90.00 gamma=90.00
With the nearest neighbours (Å) after each atom.
Positions (direct):
Se: 0.0000 0.0000 0.5000  2 Rh 2.50
Se: 0.0000 0.5000 0.0000  2 Rh 2.50
Hf: 0.5000 0.5000 0.5000  8 Se 3.07
N: 0.5000 0.0000 0.0000  2 Rh 1.79
Rh: 0.0000 0.0000 0.0000  2 N 1.79